VASP calculation (PBE) on LiTlI2 after structural relaxation.

Results
* uncorrected formation energy: -0.89 eV/atom
* crystal system: tetragonal
* D(E_F): 0.000 states/eV per atom

```
data_LiTlI2
_chemical_formula_sum 'Li4 Tl4 I8'
_cell_length_a 8.1146
_cell_length_b 8.1146
_cell_length_c 9.5283
_cell_angle_alpha 90.00
_cell_angle_beta 90.00
_cell_angle_gamma 90.00
_symmetry_space_group_name_H-M 'I -4 2 d'
_symmetry_Int_Tables_number 122
_symmetry_space_group_name_Hall 'I -4 2bw'
loop_
_atom_site_label
_atom_site_type_symbol
_atom_site_fract_x
_atom_site_fract_y
_atom_site_fract_z
Li1 Li 0.0000 0.0000 0.0000
Tl1 Tl 0.0000 0.0000 0.5000
I1 I 0.1834 0.2500 0.1250
```

***

VASP calculation (PBE) on La2CeGaN after structural relaxation.

Results
* uncorrected formation energy: -0.80 eV/atom
* crystal system: tetragonal
* D(E_F): 1.435 states/eV per atom

```
data_La2CeGaN
_chemical_formula_sum 'La2 Ce1 Ga1 N1'
_cell_length_a 5.0787
_cell_length_b 5.0787
_cell_length_c 4.8313
_cell_angle_alpha 90.00
_cell_angle_beta 90.00
_cell_angle_gamma 90.00
_symmetry_space_group_name_H-M 'P 4/m m m'
_symmetry_Int_Tables_number 123
_symmetry_space_group_name_Hall '-P 4 2'
loop_
_atom_site_label
_atom_site_type_symbol
_atom_site_fract_x
_atom_site_fract_y
_atom_site_fract_z
La1 La 0.0000 0.5000 0.0000
Ce1 Ce 0.0000 0.0000 0.5000
Ga1 Ga 0.5000 0.5000 0.5000
N1 N 0.0000 0.0000 0.0000
```

***

VASP calculation (PBE) on KBeMo2 after structural relaxation.

Results
* energy of formation: 555 kJ/mol of formula units
* crystal system: orthorhombic
* D(E_F): 0.770 states/eV per atom

```
data_KBeMo2
_chemical_formula_sum 'K2 Be2 Mo4'
_cell_length_a 5.4316
_cell_length_b 10.3259
_cell_length_c 2.5693
_cell_angle_alpha 90.00
_cell_angle_beta 90.00
_cell_angle_gamma 90.00
_symmetry_space_group_name_H-M 'C m m m'
_symmetry_Int_Tables_number 65
_symmetry_space_group_name_Hall '-C 2 2'
loop_
_atom_site_label
_atom_site_type_symbol
_atom_site_fract_x
_atom_site_fract_y
_atom_site_fract_z
K1 K 0.0000 0.0000 0.0000
Be1 Be 0.0000 0.5000 0.0000
Mo1 Mo 0.2500 0.2500 0.5000
```

***

VASP calculation (PBE) on TbDyCu2S4 after structural relaxation.

Results
* uncorrected formation energy: -1.19 eV/atom
* crystal system: orthorhombic
* D(E_F): 0.100 states/eV per atom

```
data_TbDyCu2S4
_chemical_formula_sum 'Tb2 Dy2 Cu4 S8'
_cell_length_a 6.4908
_cell_length_b 6.5051
_cell_length_c 7.7439
_cell_angle_alpha 90.00
_cell_angle_beta 90.00
_cell_angle_gamma 90.00
_symmetry_space_group_name_H-M 'I 2 2 2'
_symmetry_Int_Tables_number 23
_symmetry_space_group_name_Hall 'I 2 2'
loop_
_atom_site_label
_atom_site_type_symbol
_atom_site_fract_x
_atom_site_fract_y
_atom_site_fract_z
Tb1 Tb 0.0000 0.0000 0.0000
Dy1 Dy 0.0000 0.0000 0.5000
Cu1 Cu 0.0000 0.5000 0.1650
S1 S 0.2461 0.2573 0.1829
```

***

VASP calculation (PBE) on Ba2ZnGeH after structural relaxation.

Results
* crystal system: tetragonal
* D(E_F): 0.321 states/eV per atom

```
data_Ba2ZnGeH
_chemical_formula_sum 'Ba2 Zn1 Ge1 H1'
_cell_length_a 5.5094
_cell_length_b 5.5094
_cell_length_c 4.3689
_cell_angle_alpha 90.00
_cell_angle_beta 90.00
_cell_angle_gamma 90.00
_symmetry_space_group_name_H-M 'P 4/m m m'
_symmetry_Int_Tables_number 123
_symmetry_space_group_name_Hall '-P 4 2'
loop_
_atom_site_label
_atom_site_type_symbol
_atom_site_fract_x
_atom_site_fract_y
_atom_site_fract_z
Ba1 Ba 0.0000 0.5000 0.0000
Zn1 Zn 0.0000 0.0000 0.5000
Ge1 Ge 0.5000 0.5000 0.5000
H1 H 0.0000 0.0000 0.0000
```

***

VASP calculation (PBE) on AcPa2Co after structural relaxation.

Results
* energy of formation: 96 kJ/mol of formula units
* crystal system: trigonal
* D(E_F): 1.941 states/eV per atom

```
data_AcPa2Co
_chemical_formula_sum 'Ac3 Pa6 Co3'
_cell_length_a 3.5624
_cell_length_b 3.5624
_cell_length_c 30.2729
_cell_angle_alpha 90.00
_cell_angle_beta 90.00
_cell_angle_gamma 120.00
_symmetry_space_group_name_H-M 'R -3 m'
_symmetry_Int_Tables_number 166
_symmetry_space_group_name_Hall '-R 3 2"'
loop_
_atom_site_label
_atom_site_type_symbol
_atom_site_fract_x
_atom_site_fract_y
_atom_site_fract_z
Ac1 Ac 0.0000 0.0000 0.0000
Pa1 Pa 0.0000 0.0000 0.1128
Co1 Co 0.0000 0.0000 0.5000
```

***

VASP calculation (PBE) on Pm3Nd6Ho2Mg after structural relaxation.

Results
* energy of formation: 30 kJ/mol of formula units
* crystal system: monoclinic
* D(E_F): 1.180 states/eV per atom

```
data_Pm3Nd6Ho2Mg
_chemical_formula_sum 'Pm6 Nd12 Ho4 Mg2'
_cell_length_a 6.2868
_cell_length_b 10.9009
_cell_length_c 11.8876
_cell_angle_alpha 90.00
_cell_angle_beta 100.22
_cell_angle_gamma 90.00
_symmetry_space_group_name_H-M 'C 1 2/m 1'
_symmetry_Int_Tables_number 12
_symmetry_space_group_name_Hall '-C 2y'
loop_
_atom_site_label
_atom_site_type_symbol
_atom_site_fract_x
_atom_site_fract_y
_atom_site_fract_z
Pm1 Pm 0.0000 0.0000 0.0000
Pm2 Pm 0.0000 0.3332 0.0000
Nd1 Nd 0.2467 0.3339 0.7446
Nd2 Nd 0.2489 0.0000 0.7460
Ho1 Ho 0.0000 0.1667 0.5000
Mg1 Mg 0.0000 0.5000 0.5000
```

***

VASP calculation (PBE) on MgCdTc2O8 after structural relaxation.

Results
* uncorrected formation energy: -1.42 eV/atom
* crystal system: tetragonal
* D(E_F): 0.422 states/eV per atom

```
data_MgCdTc2O8
_chemical_formula_sum 'Mg2 Cd2 Tc4 O16'
_cell_length_a 7.0774
_cell_length_b 7.0774
_cell_length_c 6.6499
_cell_angle_alpha 90.00
_cell_angle_beta 90.00
_cell_angle_gamma 90.00
_symmetry_space_group_name_H-M 'I -4 m 2'
_symmetry_Int_Tables_number 119
_symmetry_space_group_name_Hall 'I -4 -2'
loop_
_atom_site_label
_atom_site_type_symbol
_atom_site_fract_x
_atom_site_fract_y
_atom_site_fract_z
Mg1 Mg 0.0000 0.0000 0.0000
Cd1 Cd 0.0000 0.5000 0.7500
Tc1 Tc 0.0000 0.0000 0.5000
Tc2 Tc 0.0000 0.5000 0.2500
O1 O 0.0000 0.1919 0.6739
O2 O 0.0000 0.2965 0.0891
```

***

VASP calculation (PBE) on CaGeRuO6 after structural relaxation.

Results
* uncorrected formation energy: -1.46 eV/atom
* crystal system: tetragonal

```
data_CaGeRuO6
_chemical_formula_sum 'Ca2 Ge2 Ru2 O12'
_cell_length_a 4.7912
_cell_length_b 4.7912
_cell_length_c 9.6919
_cell_angle_alpha 90.00
_cell_angle_beta 90.00
_cell_angle_gamma 90.00
_symmetry_space_group_name_H-M 'P 42 n m'
_symmetry_Int_Tables_number 102
_symmetry_space_group_name_Hall 'P 4n -2n'
loop_
_atom_site_label
_atom_site_type_symbol
_atom_site_fract_x
_atom_site_fract_y
_atom_site_fract_z
Ca1 Ca 0.0000 0.0000 0.0000
Ge1 Ge 0.0000 0.0000 0.3601
Ru1 Ru 0.0000 0.0000 0.6684
O1 O 0.1768 0.1768 0.5165
O2 O 0.2375 0.2375 0.8318
O3 O 0.2405 0.2405 0.2038
```

***

VASP calculation (PBE) on TmPa2Ru2 after structural relaxation.

Results
* energy of formation: -163 kJ/mol of formula units
* crystal system: triclinic
* D(E_F): 1.112 states/eV per atom

```
data_TmPa2Ru2
_chemical_formula_sum 'Tm2 Pa4 Ru4'
_cell_length_a 3.6943
_cell_length_b 7.7236
_cell_length_c 8.3114
_cell_angle_alpha 91.25
_cell_angle_beta 102.81
_cell_angle_gamma 103.79
_symmetry_space_group_name_H-M 'P -1'
_symmetry_Int_Tables_number 2
_symmetry_space_group_name_Hall '-P 1'
loop_
_atom_site_label
_atom_site_type_symbol
_atom_site_fract_x
_atom_site_fract_y
_atom_site_fract_z
Tm1 Tm 0.1411 0.4542 0.3287
Pa1 Pa 0.1669 0.1516 0.6814
Pa2 Pa 0.3714 0.1425 0.1007
Ru1 Ru 0.1329 0.6985 0.0680
Ru2 Ru 0.4542 0.8314 0.5768
```

***

Number 1: total energy -2.74 eV per atom, total magnetization 0.00 μB per cell. Number 2: total energy -6.23 eV per atom, total magnetization 0.73 μB per cell. Number 3: total energy -5.18 eV per atom, total magnetization 0.00 μB per cell. Number 4: total energy -5.43 eV per atom, total magnetization 0.00 μB per cell. Number 5: total energy -2.90 eV per atom, total magnetization 0.00 μB per cell. Number 6: total energy -7.30 eV per atom, total magnetization 0.00 μB per cell. Number 7: total energy -4.44 eV per atom, total magnetization 0.00 μB per cell. Number 8: total energy -6.66 eV per atom, total magnetization 4.04 μB per cell. Number 9: total energy -6.53 eV per atom, total magnetization 0.00 μB per cell. Number 10: total energy -8.74 eV per atom, total magnetization 0.00 μB per cell.